Here is an optimized crystal structure of Mn2AlMoH from the Alexandria database. Energies are from PBE.

abc: 3.763 3.763 3.994
angles: 90.00 90.00 90.00
Atoms (fractional coordinates):
Mn 0.000 0.500 0.000
Mn 0.500 0.000 0.000
Al 0.000 0.000 0.500
Mo 0.500 0.500 0.500
H 0.500 0.500 0.000

Here is an optimized crystal structure of TiCo4 from the Alexandria database. Energies are from PBE.

ΔH_f (0 K): 1239.4 meV per atom
Polymorph energy (0 for the lowest one): 2.55 eV/f.u.

abc: 4.198 4.198 4.198
angles: 90.00 90.00 90.00
Atoms (fractional coordinates):
Ti 0.000 0.000 0.000
Co 0.000 0.000 0.500
Co 0.000 0.500 0.000
Co 0.500 0.000 0.000
Co 0.500 0.500 0.500

Here is an optimized crystal structure of NaCaCuPb from the Alexandria database. Energies are from PBE.

ΔH_f (0 K): -118.9 meV per atom

abc: 7.136 7.136 7.136
angles: 90.00 90.00 90.00
Atoms (fractional coordinates):
Na 0.000 0.000 0.000
Na 0.000 0.500 0.500
Na 0.500 0.000 0.500
Na 0.500 0.500 0.000
Ca 0.250 0.250 0.250
Ca 0.250 0.750 0.750
Ca 0.750 0.250 0.750
Ca 0.750 0.750 0.250
Cu 0.000 0.000 0.500
Cu 0.000 0.500 0.000
Cu 0.500 0.000 0.000
Cu 0.500 0.500 0.500
Pb 0.250 0.250 0.750
Pb 0.250 0.750 0.250
Pb 0.750 0.250 0.250
Pb 0.750 0.750 0.750

Here is an optimized crystal structure of RbHfSc from the Alexandria database. Energies are from PBE.

ΔH_f (0 K): 632.6 meV per atom
Polymorph energy (0 for the lowest one): 0.78 eV/f.u.

abc: 3.246 7.906 8.641
angles: 102.44 99.46 90.51
Atoms (fractional coordinates):
Rb 0.103 0.286 0.084
Rb 0.897 0.714 0.916
Hf 0.314 0.040 0.646
Hf 0.686 0.960 0.354
Sc 0.223 0.672 0.444
Sc 0.777 0.328 0.556

Here is an optimized crystal structure of Mg2CoMo from the Alexandria database. Energies are from PBE.

ΔH_f (0 K): 568.3 meV per atom
Polymorph energy (0 for the lowest one): 1.83 eV/f.u.

abc: 6.360 6.360 6.360
angles: 90.00 90.00 90.00
Atoms (fractional coordinates):
Mg 0.250 0.250 0.250
Mg 0.250 0.250 0.750
Mg 0.250 0.750 0.250
Mg 0.250 0.750 0.750
Mg 0.750 0.250 0.250
Mg 0.750 0.250 0.750
Mg 0.750 0.750 0.250
Mg 0.750 0.750 0.750
Co 0.000 0.000 0.000
Co 0.000 0.500 0.500
Co 0.500 0.000 0.500
Co 0.500 0.500 0.000
Mo 0.000 0.000 0.500
Mo 0.000 0.500 0.000
Mo 0.500 0.000 0.000
Mo 0.500 0.500 0.500

Here is an optimized crystal structure of Rb4SmHo3Se8 from the Alexandria database. Energies are from PBE.

Formation energy without anion corrections: -1.735 eV/atom

abc: 9.383 9.383 9.383
angles: 53.87 53.87 53.87
Atoms (fractional coordinates):
Rb 0.000 0.000 0.000
Rb 0.000 0.500 0.500
Rb 0.500 0.000 0.500
Rb 0.500 0.500 0.000
Sm 0.500 0.500 0.500
Ho 0.000 0.000 0.500
Ho 0.000 0.500 0.000
Ho 0.500 0.000 0.000
Se 0.227 0.735 0.735
Se 0.231 0.231 0.231
Se 0.265 0.265 0.773
Se 0.265 0.773 0.265
Se 0.735 0.227 0.735
Se 0.735 0.735 0.227
Se 0.769 0.769 0.769
Se 0.773 0.265 0.265

Here is an optimized crystal structure of Re2AsPt from the Alexandria database. Energies are from PBE.

ΔH_f (0 K): 529.1 meV per atom

abc: 3.840 3.840 4.184
angles: 90.00 90.00 90.00
Atoms (fractional coordinates):
Re 0.000 0.500 0.000
Re 0.500 0.000 0.000
As 0.000 0.000 0.500
Pt 0.500 0.500 0.500

Here is an optimized crystal structure of CePuHgPd from the Alexandria database. Energies are from PBE.

ΔH_f (0 K): -426.1 meV per atom
Polymorph energy (0 for the lowest one): 0.00 eV/f.u.

abc: 7.029 7.029 7.029
angles: 90.00 90.00 90.00
Atoms (fractional coordinates):
Ce 0.000 0.000 0.000
Ce 0.000 0.500 0.500
Ce 0.500 0.000 0.500
Ce 0.500 0.500 0.000
Pu 0.250 0.250 0.750
Pu 0.250 0.750 0.250
Pu 0.750 0.250 0.250
Pu 0.750 0.750 0.750
Hg 0.000 0.000 0.500
Hg 0.000 0.500 0.000
Hg 0.500 0.000 0.000
Hg 0.500 0.500 0.500
Pd 0.250 0.250 0.250
Pd 0.250 0.750 0.750
Pd 0.750 0.250 0.750
Pd 0.750 0.750 0.250

Here is an optimized crystal structure of BaLi2P from the Alexandria database. Energies are from PBE.

ΔH_f (0 K): -409.5 meV per atom

abc: 4.660 6.132 7.627
angles: 90.00 90.00 90.00
Atoms (fractional coordinates):
Ba 0.000 0.000 0.000
Ba 0.500 0.500 0.500
Li 0.000 0.000 0.572
Li 0.000 0.500 0.851
Li 0.500 0.000 0.351
Li 0.500 0.500 0.072
P 0.000 0.500 0.173
P 0.500 0.000 0.673

Here is an optimized crystal structure of Hf2Ti2Tc from the Alexandria database. Energies are from PBE.

ΔH_f (0 K): -59.4 meV per atom

abc: 6.301 6.301 4.799
angles: 90.00 90.00 90.00
Atoms (fractional coordinates):
Hf 0.165 0.335 0.000
Hf 0.335 0.835 0.000
Hf 0.665 0.165 0.000
Hf 0.835 0.665 0.000
Ti 0.148 0.648 0.500
Ti 0.352 0.148 0.500
Ti 0.648 0.852 0.500
Ti 0.852 0.352 0.500
Tc 0.000 0.000 0.500
Tc 0.500 0.500 0.500

Here is an optimized crystal structure of TlPd2Au from the Alexandria database. Energies are from PBE.

ΔH_f (0 K): -195.8 meV per atom
Polymorph energy (0 for the lowest one): 0.00 eV/f.u.

abc: 4.260 4.260 3.924
angles: 90.00 90.00 90.00
Atoms (fractional coordinates):
Tl 0.000 0.000 0.000
Pd 0.000 0.500 0.500
Pd 0.500 0.000 0.500
Au 0.500 0.500 0.000

Here is an optimized crystal structure of Hf2MgGa4 from the Alexandria database. Energies are from PBE.

ΔH_f (0 K): 346.1 meV per atom

abc: 4.851 4.851 13.664
angles: 90.00 90.00 90.00
Atoms (fractional coordinates):
Hf 0.000 0.000 0.106
Hf 0.000 0.000 0.894
Hf 0.500 0.500 0.394
Hf 0.500 0.500 0.606
Mg 0.000 0.000 0.500
Mg 0.500 0.500 0.000
Ga 0.000 0.000 0.307
Ga 0.000 0.000 0.693
Ga 0.000 0.500 0.000
Ga 0.000 0.500 0.500
Ga 0.500 0.000 0.000
Ga 0.500 0.000 0.500
Ga 0.500 0.500 0.193
Ga 0.500 0.500 0.807

no.,VASP energy (eV/cell)
1,-36.48
2,-30.12
3,-46.40
4,-30.71
5,-75.41
6,-77.96
7,-33.47
8,-109.86
9,-25.60
10,-92.72
11,-16.81
12,-62.37